Material: HfTi4Tc2
Method: DFT, GGA-PBE
State: relaxed

Properties
- magnetization (μB/cell) = 0.1
- DFT formation energy (eV per atom) = 0.92
- calculated density (Mg/m³) = 6.73
- space-group type = I4/mmm
- DFT total energy (eV/atom) = -7.977

Cell: 4.738 4.738 12.442 Å, 90.00 90.00 90.00°
Atoms (fractional coordinates):
1 Hf 0.000 0.000 0.000
2 Hf 0.500 0.500 0.500
3 Ti 0.000 0.000 0.209
4 Ti 0.000 0.000 0.791
5 Ti 0.000 0.500 0.000
6 Ti 0.000 0.500 0.500
7 Ti 0.500 0.000 0.000
8 Ti 0.500 0.000 0.500
9 Ti 0.500 0.500 0.291
10 Ti 0.500 0.500 0.709
11 Tc 0.000 0.000 0.380
12 Tc 0.000 0.000 0.620
13 Tc 0.500 0.500 0.120
14 Tc 0.500 0.500 0.880

Material: HfTi2Tc2
Method: DFT, GGA-PBE
State: relaxed

Properties
- magnetization (μB/cell) = 0.0
- DFT formation energy (eV per atom) = -0.05
- calculated density (Mg/m³) = 9.29
- space-group type = P4/mbm
- relative energy among the computed polymorphs (eV per atom) = 0.217
- DFT total energy (eV/atom) = -9.342

Cell: 7.543 7.543 2.953 Å, 90.00 90.00 90.00°
Atoms (fractional coordinates):
1 Hf 0.000 0.000 0.000
2 Hf 0.500 0.500 0.000
3 Ti 0.132 0.368 0.000
4 Ti 0.368 0.868 0.000
5 Ti 0.632 0.132 0.000
6 Ti 0.868 0.632 0.000
7 Tc 0.171 0.671 0.500
8 Tc 0.329 0.171 0.500
9 Tc 0.671 0.829 0.500
10 Tc 0.829 0.329 0.500

Material: HfTi5Tc6
Method: DFT, GGA-PBE
State: relaxed

Properties
- magnetization (μB/cell) = 0.0
- DFT formation energy (eV per atom) = -0.47
- calculated density (Mg/m³) = 9.05
- space-group type = Cmmm
- DFT total energy (eV/atom) = -9.775

Cell: 7.001 7.001 6.273 Å, 90.00 90.00 143.11°
Atoms (fractional coordinates):
1 Hf 0.000 0.000 0.000
2 Ti 0.000 0.000 0.500
3 Ti 0.332 0.668 0.000
4 Ti 0.333 0.667 0.500
5 Ti 0.667 0.333 0.500
6 Ti 0.668 0.332 0.000
7 Tc 0.169 0.831 0.253
8 Tc 0.169 0.831 0.747
9 Tc 0.500 0.500 0.256
10 Tc 0.500 0.500 0.744
11 Tc 0.831 0.169 0.253
12 Tc 0.831 0.169 0.747

Material: HfTiTc
Method: DFT, GGA-PBE
State: relaxed

Properties
- magnetization (μB/cell) = 0.0
- DFT formation energy (eV per atom) = -0.31
- calculated density (Mg/m³) = 10.30
- space-group type = Cm
- relative energy among the computed polymorphs (eV per atom) = 0.047
- DFT total energy (eV/atom) = -9.716

Cell: 9.985 4.450 5.678 Å, 90.00 124.00 90.00°
Atoms (fractional coordinates):
1 Hf 0.000 0.000 0.000
2 Hf 0.151 0.500 0.825
3 Hf 0.500 0.500 0.000
4 Hf 0.651 0.000 0.825
5 Ti 0.204 0.500 0.379
6 Ti 0.353 0.000 0.216
7 Ti 0.704 0.000 0.379
8 Ti 0.853 0.500 0.216
9 Tc 0.002 0.000 0.502
10 Tc 0.330 0.000 0.669
11 Tc 0.502 0.500 0.502
12 Tc 0.830 0.500 0.669

Material: HfTiTc4
Method: DFT, GGA-PBE
State: relaxed

Properties
- magnetization (μB/cell) = 0.0
- DFT formation energy (eV per atom) = -0.24
- calculated density (Mg/m³) = 10.38
- space-group type = F-43m
- DFT total energy (eV/atom) = -10.124

Cell: 5.191 5.191 5.191 Å, 60.00 60.00 60.00°
Atoms (fractional coordinates):
1 Hf 0.000 0.000 0.000
2 Ti 0.750 0.750 0.750
3 Tc 0.375 0.375 0.375
4 Tc 0.375 0.375 0.874
5 Tc 0.375 0.874 0.375
6 Tc 0.874 0.375 0.375

Material: Hf2TiTc
Method: DFT, GGA-PBE
State: relaxed

Properties
- magnetization (μB/cell) = 2.0
- DFT formation energy (eV per atom) = 0.35
- calculated density (Mg/m³) = 10.55
- space-group type = I-42d
- relative energy among the computed polymorphs (eV per atom) = 0.574
- DFT total energy (eV/atom) = -9.188

Cell: 7.382 7.382 5.809 Å, 90.00 90.00 90.00°
Atoms (fractional coordinates):
1 Hf 0.221 0.250 0.125
2 Hf 0.250 0.721 0.375
3 Hf 0.250 0.779 0.875
4 Hf 0.279 0.250 0.625
5 Hf 0.721 0.750 0.625
6 Hf 0.750 0.221 0.875
7 Hf 0.750 0.279 0.375
8 Hf 0.779 0.750 0.125
9 Ti 0.000 0.000 0.500
10 Ti 0.000 0.500 0.750
11 Ti 0.500 0.000 0.250
12 Ti 0.500 0.500 0.000
13 Tc 0.000 0.000 0.000
14 Tc 0.000 0.500 0.250
15 Tc 0.500 0.000 0.750
16 Tc 0.500 0.500 0.500

Material: Hf2TiTc
Method: DFT, GGA-PBE
State: relaxed

Properties
- magnetization (μB/cell) = 0.0
- DFT formation energy (eV per atom) = -0.18
- calculated density (Mg/m³) = 11.42
- space-group type = P4/mmm
- relative energy among the computed polymorphs (eV per atom) = 0.041
- DFT total energy (eV/atom) = -9.721

Cell: 4.697 4.697 3.315 Å, 90.00 90.00 90.00°
Atoms (fractional coordinates):
1 Hf 0.000 0.500 0.000
2 Hf 0.500 0.000 0.000
3 Ti 0.000 0.000 0.500
4 Tc 0.500 0.500 0.500

Material: HfTiTc2
Method: DFT, GGA-PBE
State: relaxed

Properties
- magnetization (μB/cell) = 0.0
- DFT formation energy (eV per atom) = -0.45
- calculated density (Mg/m³) = 10.83
- space-group type = P4/mmm
- DFT total energy (eV/atom) = -10.100

Cell: 3.189 3.189 6.367 Å, 90.00 90.00 90.00°
Atoms (fractional coordinates):
1 Hf 0.000 0.000 0.000
2 Ti 0.000 0.000 0.500
3 Tc 0.500 0.500 0.261
4 Tc 0.500 0.500 0.739

Which value of DFT formation energy does entry 4 give? -0.31 eV per atom

Which of these has the lowest DFT formation energy? HfTi5Tc6

Which of these has the lowest DFT total energy? HfTiTc4

Which of these has the lowest DFT formation energy? HfTi5Tc6